(1)
Tb2BeSi3Ni4 | GGA-PBE | relaxed

formation energy (no corrections) = -746 meV per atom
Fermi-level density of states = 0.675 states/eV per atom

Lattice parameters (Å, degrees): 3.9483 3.9483 9.4210 90.00 90.00 90.00
Last column: nearest neighbours and their distance in Å.
Space group P-4m2 (No. 115)
Unique sites:
1 Tb 0.0000 0.5000 0.2446  8 Ni 3.02-3.11, 6 Si 3.02-3.03, 2 Be 3.03
2 Be 0.5000 0.5000 0.0000  4 Ni 2.29
3 Si 0.0000 0.0000 0.0000  4 Ni 2.29
4 Si 0.0000 0.5000 0.6325  5 Ni 2.31-2.34
5 Ni 0.0000 0.0000 0.5000  4 Si 2.34
6 Ni 0.0000 0.5000 0.8775  2 Be 2.29, 3 Si 2.29-2.31
7 Ni 0.5000 0.5000 0.5000  4 Si 2.34

***

(2)
HoErMgPd | GGA-PBE | relaxed

offset from the most stable computed form = 80 meV per atom
formation energy from the elements = -0.4128 eV/atom
Fermi-level density of states = 0.620 states/eV per atom

Lattice parameters (Å, degrees): 7.2078 7.2078 7.2078 90.00 90.00 90.00
Last column: nearest neighbours and their distance in Å.
Space group F-43m (No. 216)
Unique sites:
1 Ho 0.0000 0.0000 0.0000  4 Mg 3.12, 4 Pd 3.12
2 Er 0.0000 0.0000 0.5000  4 Mg 3.12, 4 Pd 3.12
3 Mg 0.2500 0.2500 0.7500  4 Ho 3.12, 4 Er 3.12
4 Pd 0.2500 0.2500 0.2500  4 Ho 3.12, 4 Er 3.12

***

(3)
CsPdBr3 | GGA-PBE | relaxed

formation energy (no corrections) = -792 meV per atom
Fermi-level density of states = 0.574 states/eV per atom

Lattice parameters (Å, degrees): 14.1535 14.1535 14.1535 90.00 90.00 90.00
Last column: nearest neighbours and their distance in Å.
Space group Fd-3m (No. 227, origin choice 2)
Unique sites:
1 Cs 0.0000 0.0000 0.0000  6 Br 3.62
2 Pd 0.0000 0.0000 0.5000  6 Br 2.66
3 Br 0.0648 0.3750 0.8750  2 Pd 2.66

***

(4)
SmHgRh | GGA-PBE | relaxed

formation energy from the elements = -0.6008 eV/atom
Fermi-level density of states = 0.481 states/eV per atom

Lattice parameters (Å, degrees): 3.8871 4.0362 8.9480 90.00 102.49 90.00
Last column: nearest neighbours and their distance in Å.
Space group P2_1/m (No. 11)
Unique sites:
1 Sm 0.0969 0.2500 0.1939  6 Rh 2.92-3.21
2 Hg 0.2927 0.2500 0.5845  1 Rh 2.77
3 Rh 0.4511 0.2500 0.9020  2 Rh 2.65, 1 Hg 2.77, 4 Sm 2.92

***

(5)
In2PbF | GGA-PBE | relaxed

offset from the most stable computed form = 115 meV per atom
formation energy (no corrections) = -561 meV per atom
Fermi-level density of states = 0.753 states/eV per atom

Lattice parameters (Å, degrees): 7.2521 7.2521 7.2521 90.00 90.00 90.00
Last column: nearest neighbours and their distance in Å.
Space group Fm-3m (No. 225)
Unique sites:
1 In 0.2500 0.2500 0.2500  4 F 3.14, 4 Pb 3.14
2 Pb 0.0000 0.0000 0.0000  8 In 3.14
3 F 0.0000 0.0000 0.5000  8 In 3.14

***

(6)
ZnO | GGA-PBE | relaxed

formation energy (no corrections) = -1427 meV per atom
Fermi-level density of states = 0.000 states/eV per atom

Lattice parameters (Å, degrees): 4.6297 4.6297 4.6297 90.00 90.00 90.00
Last column: nearest neighbours and their distance in Å.
Space group F-43m (No. 216)
Unique sites:
1 Zn 0.0000 0.0000 0.0000  4 O 2.00
2 O 0.2500 0.2500 0.7500  4 Zn 2.00

***

(7)
In2OsPb | GGA-PBE | relaxed

formation energy from the elements = 0.7555 eV/atom
Fermi-level density of states = 0.723 states/eV per atom

Lattice parameters (Å, degrees): 7.0446 7.0446 7.0446 90.00 90.00 90.00
Last column: nearest neighbours and their distance in Å.
Space group F-43m (No. 216)
Unique sites:
1 In 0.0000 0.0000 0.0000  4 In 3.05, 4 Pb 3.05
2 In 0.2500 0.2500 0.2500  4 Os 3.05, 4 In 3.05
3 Os 0.0000 0.0000 0.5000  4 Pb 3.05, 4 In 3.05
4 Pb 0.2500 0.2500 0.7500  4 In 3.05, 4 Os 3.05

***

(8)
DyYHg4 | GGA-PBE | relaxed

offset from the most stable computed form = 30 meV per atom
formation energy from the elements = -0.3484 eV/atom
Fermi-level density of states = 0.663 states/eV per atom

Lattice parameters (Å, degrees): 11.8644 3.6242 7.2825 90.00 107.87 90.00
Last column: nearest neighbours and their distance in Å.
Space group C2/m (No. 12)
Unique sites:
1 Dy 0.0000 0.0000 0.0000  8 Hg 3.18-3.19
2 Y 0.0000 0.0000 0.5000  8 Hg 3.20
3 Hg 0.1681 0.5000 0.3333  4 Hg 3.17, 2 Dy 3.19, 2 Y 3.20
4 Hg 0.1677 0.5000 0.8354  4 Hg 3.16-3.17, 2 Dy 3.18, 2 Y 3.20

***

(9)
VSnHg2 | GGA-PBE | relaxed

formation energy from the elements = 0.5885 eV/atom
Fermi-level density of states = 1.035 states/eV per atom

Lattice parameters (Å, degrees): 3.1675 3.1675 34.3048 90.00 90.00 120.00
Last column: nearest neighbours and their distance in Å.
Space group R-3m (No. 166, hexagonal axes)
Unique sites:
1 V 0.0000 0.0000 0.0000  2 Hg 2.79
2 Sn 0.0000 0.0000 0.5000  6 Sn 3.17, 6 Hg 3.45
3 Hg 0.0000 0.0000 0.0813  1 V 2.79

***

(10)
Sm3Co5N12 | GGA-PBE | relaxed

formation energy (no corrections) = 93 meV per atom
Fermi-level density of states = 0.540 states/eV per atom

Lattice parameters (Å, degrees): 12.2155 12.2155 12.2155 90.00 90.00 90.00
Last column: nearest neighbours and their distance in Å.
Space group Ia-3d (No. 230)
Unique sites:
1 Sm 0.0000 0.2500 0.1250  8 N 2.44-2.51
2 Co 0.0000 0.0000 0.0000  6 N 1.96
3 Co 0.0000 0.2500 0.3750  4 N 1.75
4 N 0.0387 0.0495 0.6472  2 Co 1.75-1.96

***

(11)
RbSb2I6 | GGA-PBE | relaxed

formation energy (no corrections) = -500 meV per atom
Fermi-level density of states = 0.080 states/eV per atom

Lattice parameters (Å, degrees): 15.9131 13.8466 12.5311 90.00 125.30 90.00
Last column: nearest neighbours and their distance in Å.
Space group C2/c (No. 15)
Unique sites:
1 Rb 0.0000 0.0772 0.2500  6 I 3.80-3.84
2 Sb 0.1283 0.4603 0.2142  2 I 2.79-2.93
3 I 0.1188 0.4751 0.4610  3 Sb 3.19-3.22
4 I 0.1298 0.2636 0.1680  1 Sb 2.79
5 I 0.1470 0.0222 0.6154  1 Sb 2.93

***

(12)
InPt2C | GGA-PBE | relaxed

offset from the most stable computed form = 832 meV per atom
formation energy from the elements = 1.1147 eV/atom
Fermi-level density of states = 0.583 states/eV per atom

Lattice parameters (Å, degrees): 6.2723 6.2723 6.2723 90.00 90.00 90.00
Last column: nearest neighbours and their distance in Å.
Space group Fm-3m (No. 225)
Unique sites:
1 In 0.0000 0.0000 0.0000  8 Pt 2.72
2 Pt 0.2500 0.2500 0.2500  4 In 2.72, 4 C 2.72
3 C 0.0000 0.0000 0.5000  8 Pt 2.72